The following is a PBE-GGA calculation of a relaxed Ta2MnTe crystal, from Alexandria.

Structure (POSCAR):
```
Ta2MnTe
1.0
3.222 0.000 0.000
0.000 4.296 0.000
-1.549 0.000 5.108
Ta Mn Te
2 1 1
Direct
0.000 0.000 0.000
0.295 0.500 0.725
0.600 0.000 0.547
0.594 0.500 0.265
```

Summary:
- V (A^3/atom) = 17.7
- DOS(E_F) (states/eV per cell) = 3.19
- total moment (μB per formula unit) = 0.0
- E_form (uncorrected) (eV per atom) = 0.26